Version A
This record from the Alexandria database describes a relaxed DyPuSc2 crystal. The functional is GGA-PBE.

Cell lengths 7.529, 7.529, 7.529 Å; angles 90.00, 90.00, 90.00 degrees
Element x y z (fractional)
Dy: 0.000 0.000 0.000
Dy: 0.000 0.500 0.500
Dy: 0.500 0.000 0.500
Dy: 0.500 0.500 0.000
Pu: 0.000 0.000 0.500
Pu: 0.000 0.500 0.000
Pu: 0.500 0.000 0.000
Pu: 0.500 0.500 0.500
Sc: 0.250 0.250 0.250
Sc: 0.250 0.250 0.750
Sc: 0.250 0.750 0.250
Sc: 0.250 0.750 0.750
Sc: 0.750 0.250 0.250
Sc: 0.750 0.250 0.750
Sc: 0.750 0.750 0.250
Sc: 0.750 0.750 0.750

Computed properties:
Total magnetization (μB/cell): 22.986
SG: No. 225
DOS at the Fermi energy (states/eV/f.u.): 7.6

---

Version B
This record from the Alexandria database describes a relaxed DyPuSc2 crystal. The functional is GGA-PBE.

Cell lengths 3.363, 3.363, 32.353 Å; angles 90.00, 90.00, 120.00 degrees
Element x y z (fractional)
Dy: 0.000 0.000 0.000
Dy: 0.333 0.667 0.667
Dy: 0.667 0.333 0.333
Pu: 0.000 0.000 0.166
Pu: 0.333 0.667 0.833
Pu: 0.667 0.333 0.499
Sc: 0.000 0.000 0.581
Sc: 0.000 0.000 0.752
Sc: 0.333 0.667 0.247
Sc: 0.333 0.667 0.418
Sc: 0.667 0.333 0.085
Sc: 0.667 0.333 0.914

Computed properties:
Total magnetization (μB/cell): 16.428
SG: No. 160
DOS at the Fermi energy (states/eV/f.u.): 11.0

---

It is version A that is the least stable of them.